[1]
VASP calculation (PBE) on crystalline YAl2Rh2 at its relaxed geometry.

```
data_YAl2Rh2
_chemical_formula_sum 'Y2 Al4 Rh4'
_cell_length_a 7.5227
_cell_length_b 7.5227
_cell_length_c 2.9558
_cell_angle_alpha 90.00
_cell_angle_beta 90.00
_cell_angle_gamma 90.00
_space_group_name_H-M_alt 'P 1'
_space_group_IT_number 1
loop_
_space_group_symop_operation_xyz
'x,y,z'
loop_
_atom_site_label
_atom_site_type_symbol
_atom_site_fract_x
_atom_site_fract_y
_atom_site_fract_z
_atom_site_occupancy
Y1 Y 0.0000 0.0000 0.0000 1
Y2 Y 0.5000 0.5000 0.0000 1
Al1 Al 0.1390 0.3610 0.5000 1
Al2 Al 0.3610 0.8610 0.5000 1
Al3 Al 0.6390 0.1390 0.5000 1
Al4 Al 0.8610 0.6390 0.5000 1
Rh1 Rh 0.1519 0.6519 0.0000 1
Rh2 Rh 0.3481 0.1519 0.0000 1
Rh3 Rh 0.6519 0.8481 0.0000 1
Rh4 Rh 0.8481 0.3481 0.0000 1
```

Computed properties:
Mass density = 6.923 g/cm3
Space group = P4/mbm (127)
Formation energy = -0.823 eV per atom

***

[2]
VASP calculation (PBE) on crystalline YAl2Rh at its relaxed geometry.

```
data_YAl2Rh
_chemical_formula_sum 'Y1 Al2 Rh1'
_cell_length_a 4.6313
_cell_length_b 4.6313
_cell_length_c 4.6313
_cell_angle_alpha 60.00
_cell_angle_beta 60.00
_cell_angle_gamma 60.00
_space_group_name_H-M_alt 'P 1'
_space_group_IT_number 1
loop_
_space_group_symop_operation_xyz
'x,y,z'
loop_
_atom_site_label
_atom_site_type_symbol
_atom_site_fract_x
_atom_site_fract_y
_atom_site_fract_z
_atom_site_occupancy
Y1 Y 0.0000 0.0000 0.0000 1
Al1 Al 0.2500 0.2500 0.2500 1
Al2 Al 0.7500 0.7500 0.7500 1
Rh1 Rh 0.5000 0.5000 0.5000 1
```

Computed properties:
Mass density = 5.810 g/cm3
Space group = Fm-3m (225)
Formation energy = -0.554 eV per atom

***

[3]
VASP calculation (PBE) on crystalline YAl2Rh at its relaxed geometry.

```
data_YAl2Rh
_chemical_formula_sum 'Y1 Al2 Rh1'
_cell_length_a 5.6985
_cell_length_b 5.6985
_cell_length_c 5.6985
_cell_angle_alpha 147.99
_cell_angle_beta 128.55
_cell_angle_gamma 61.89
_space_group_name_H-M_alt 'P 1'
_space_group_IT_number 1
loop_
_space_group_symop_operation_xyz
'x,y,z'
loop_
_atom_site_label
_atom_site_type_symbol
_atom_site_fract_x
_atom_site_fract_y
_atom_site_fract_z
_atom_site_occupancy
Y1 Y 0.0000 0.0000 0.0000 1
Al1 Al 0.2865 0.7865 0.5000 1
Al2 Al 0.7135 0.2135 0.5000 1
Rh1 Rh 0.5000 0.5000 0.0000 1
```

Computed properties:
Mass density = 5.372 g/cm3
Space group = Immm (71)
Formation energy = -0.488 eV per atom

***

[4]
VASP calculation (PBE) on crystalline YAl2Rh at its relaxed geometry.

```
data_YAl2Rh
_chemical_formula_sum 'Y1 Al2 Rh1'
_cell_length_a 3.1708
_cell_length_b 4.0427
_cell_length_c 6.0872
_cell_angle_alpha 90.00
_cell_angle_beta 90.00
_cell_angle_gamma 90.00
_space_group_name_H-M_alt 'P 1'
_space_group_IT_number 1
loop_
_space_group_symop_operation_xyz
'x,y,z'
loop_
_atom_site_label
_atom_site_type_symbol
_atom_site_fract_x
_atom_site_fract_y
_atom_site_fract_z
_atom_site_occupancy
Y1 Y 0.0000 0.0000 0.0000 1
Al1 Al 0.5000 0.0000 0.4573 1
Al2 Al 0.5000 0.5000 0.7295 1
Rh1 Rh 0.0000 0.5000 0.3953 1
```

Computed properties:
Mass density = 5.230 g/cm3
Space group = Pmm2 (25)
Formation energy = -0.500 eV per atom

***

[5]
VASP calculation (PBE) on crystalline Y4Al12Rh at its relaxed geometry.

```
data_Y4Al12Rh
_chemical_formula_sum 'Y4 Al12 Rh1'
_cell_length_a 7.4856
_cell_length_b 7.4856
_cell_length_c 7.4856
_cell_angle_alpha 109.47
_cell_angle_beta 109.47
_cell_angle_gamma 109.47
_space_group_name_H-M_alt 'P 1'
_space_group_IT_number 1
loop_
_space_group_symop_operation_xyz
'x,y,z'
loop_
_atom_site_label
_atom_site_type_symbol
_atom_site_fract_x
_atom_site_fract_y
_atom_site_fract_z
_atom_site_occupancy
Y1 Y 0.0000 0.0000 0.5000 1
Y2 Y 0.0000 0.5000 0.0000 1
Y3 Y 0.5000 0.0000 0.0000 1
Y4 Y 0.5000 0.5000 0.5000 1
Al1 Al 0.0000 0.2871 0.2871 1
Al2 Al 0.0000 0.7129 0.7129 1
Al3 Al 0.2500 0.5000 0.7500 1
Al4 Al 0.2500 0.7500 0.5000 1
Al5 Al 0.2871 0.0000 0.2871 1
Al6 Al 0.2871 0.2871 0.0000 1
Al7 Al 0.5000 0.2500 0.7500 1
Al8 Al 0.5000 0.7500 0.2500 1
Al9 Al 0.7129 0.0000 0.7129 1
Al10 Al 0.7129 0.7129 0.0000 1
Al11 Al 0.7500 0.2500 0.5000 1
Al12 Al 0.7500 0.5000 0.2500 1
Rh1 Rh 0.0000 0.0000 0.0000 1
```

Computed properties:
Mass density = 4.023 g/cm3
Space group = Im-3m (229)
Formation energy = -0.557 eV per atom

***

[6]
VASP calculation (PBE) on crystalline YAl2Rh at its relaxed geometry.

```
data_YAl2Rh
_chemical_formula_sum 'Y1 Al2 Rh1'
_cell_length_a 8.9866
_cell_length_b 8.9866
_cell_length_c 8.9866
_cell_angle_alpha 20.49
_cell_angle_beta 20.49
_cell_angle_gamma 20.49
_space_group_name_H-M_alt 'P 1'
_space_group_IT_number 1
loop_
_space_group_symop_operation_xyz
'x,y,z'
loop_
_atom_site_label
_atom_site_type_symbol
_atom_site_fract_x
_atom_site_fract_y
_atom_site_fract_z
_atom_site_occupancy
Y1 Y 0.0000 0.0000 0.0000 1
Al1 Al 0.5158 0.5158 0.5158 1
Al2 Al 0.7668 0.7668 0.7668 1
Rh1 Rh 0.2489 0.2489 0.2489 1
```

Computed properties:
Mass density = 5.244 g/cm3
Space group = R3m (160)
Formation energy = -0.204 eV per atom

***

[7]
VASP calculation (PBE) on crystalline Y2AlRh2 at its relaxed geometry.

```
data_Y2AlRh2
_chemical_formula_sum 'Y4 Al2 Rh4'
_cell_length_a 8.0768
_cell_length_b 8.0768
_cell_length_c 3.2723
_cell_angle_alpha 90.00
_cell_angle_beta 90.00
_cell_angle_gamma 90.00
_space_group_name_H-M_alt 'P 1'
_space_group_IT_number 1
loop_
_space_group_symop_operation_xyz
'x,y,z'
loop_
_atom_site_label
_atom_site_type_symbol
_atom_site_fract_x
_atom_site_fract_y
_atom_site_fract_z
_atom_site_occupancy
Y1 Y 0.1501 0.3499 0.0000 1
Y2 Y 0.3499 0.8499 0.0000 1
Y3 Y 0.6501 0.1501 0.0000 1
Y4 Y 0.8499 0.6501 0.0000 1
Al1 Al 0.0000 0.0000 0.0000 1
Al2 Al 0.5000 0.5000 0.0000 1
Rh1 Rh 0.1476 0.6476 0.5000 1
Rh2 Rh 0.3524 0.1476 0.5000 1
Rh3 Rh 0.6476 0.8524 0.5000 1
Rh4 Rh 0.8524 0.3524 0.5000 1
```

Computed properties:
Mass density = 6.388 g/cm3
Space group = P4/mbm (127)
Formation energy = -0.330 eV per atom

***

[8]
VASP calculation (PBE) on crystalline YAl2Rh at its relaxed geometry.

```
data_YAl2Rh
_chemical_formula_sum 'Y1 Al2 Rh1'
_cell_length_a 3.1404
_cell_length_b 3.1404
_cell_length_c 7.3161
_cell_angle_alpha 90.00
_cell_angle_beta 90.00
_cell_angle_gamma 90.00
_space_group_name_H-M_alt 'P 1'
_space_group_IT_number 1
loop_
_space_group_symop_operation_xyz
'x,y,z'
loop_
_atom_site_label
_atom_site_type_symbol
_atom_site_fract_x
_atom_site_fract_y
_atom_site_fract_z
_atom_site_occupancy
Y1 Y 0.0000 0.0000 0.0000 1
Al1 Al 0.5000 0.5000 0.3091 1
Al2 Al 0.5000 0.5000 0.6909 1
Rh1 Rh 0.0000 0.0000 0.5000 1
```

Computed properties:
Mass density = 5.656 g/cm3
Space group = P4/mmm (123)
Formation energy = -0.664 eV per atom

***

Which value of mass density does entry 6 give? 5.244 g/cm3

***

The highest mass density belongs to which entry? YAl2Rh2